Ni2SbOs: optimized geometry, PBEsol.

Lattice parameters (Å, degrees): 6.026 6.026 6.026 90.00 90.00 90.00
Space group F-43m (No. 216)
Inequivalent atoms, fractional coordinates:
Ni 0.000 0.000 0.000 x4
Ni 0.250 0.250 0.250 x4
Sb 0.250 0.250 0.750 x4
Os 0.000 0.000 0.500 x4

Raw formation energy = 0.21 eV/atom